This record from the Alexandria database describes a geometry-optimized PmPuTc structure. The functional is GGA-PBE.

Structure (CIF):
```
data_PmPuTc
_cell_length_a 3.4470
_cell_length_b 3.4470
_cell_length_c 6.4093
_cell_angle_alpha 105.60
_cell_angle_beta 105.60
_cell_angle_gamma 90.00
_symmetry_space_group_name_H-M 'P 1'
_symmetry_Int_Tables_number 1
loop_
_symmetry_equiv_pos_as_xyz
'x,y,z'
loop_
_atom_site_label
_atom_site_fract_x
_atom_site_fract_y
_atom_site_fract_z
Pm1 0.0162 0.0162 0.0325
Tc1 0.6811 0.6811 0.3623
Pu1 0.3026 0.3026 0.6052
```

Total moment   5.141 μB/cell
Crystal system   tetragonal
Energy above the lowest structure with this stoichiometry   0.0715 eV per atom
Uncorrected energy   -9.7178 eV per atom
Density of states at the Fermi level   6.4 states/eV/cell